1.
DFT (GGA-PBE) results for a geometry-optimized BaEuInBi structure.

Properties
Its formation energy is -0.55 eV per atom. As for the space-group type: F-43m.

Unit cell a=5.891 b=5.891 c=5.891 alpha=60.00 beta=60.00 gamma=60.00
Positions (direct):
Ba 0.000 0.000 0.000
Eu 0.500 0.500 0.500
In 0.750 0.750 0.750
Bi 0.250 0.250 0.250



2.
DFT (GGA-PBE) results for a geometry-optimized BaEuInBiO6 structure.

Properties
The relative energy among the computed polymorphs is 91 meV per atom. The value obtained for the raw formation energy is -1.839 eV per atom. As for the space-group type: F-43m.

Unit cell a=6.037 b=6.037 c=6.037 alpha=60.00 beta=60.00 gamma=60.00
Positions (direct):
Ba 0.000 0.000 0.000
Eu 0.500 0.500 0.500
In 0.750 0.750 0.750
Bi 0.250 0.250 0.250
O 0.001 0.001 0.499
O 0.001 0.499 0.001
O 0.001 0.499 0.499
O 0.499 0.001 0.001
O 0.499 0.001 0.499
O 0.499 0.499 0.001



3.
DFT (GGA-PBE) results for a geometry-optimized BaEuInBiO6 structure.

Properties
The relative energy among the computed polymorphs is 0 meV per atom. The value obtained for the raw formation energy is -1.931 eV per atom. As for the space-group type: P-1.

Unit cell a=5.979 b=6.098 c=8.483 alpha=89.88 beta=89.94 gamma=89.91
Positions (direct):
Ba 0.006 0.035 0.251
Ba 0.994 0.965 0.749
Eu 0.481 0.548 0.252
Eu 0.519 0.452 0.748
In 0.000 0.500 0.500
In 0.500 0.000 0.000
Bi 0.000 0.500 0.000
Bi 0.500 0.000 0.500
O 0.112 0.509 0.755
O 0.218 0.776 0.456
O 0.220 0.773 0.049
O 0.292 0.298 0.059
O 0.300 0.301 0.447
O 0.429 0.056 0.754
O 0.571 0.944 0.246
O 0.700 0.699 0.553
O 0.708 0.702 0.941
O 0.780 0.227 0.951
O 0.782 0.224 0.544
O 0.888 0.491 0.245



4.
DFT (GGA-PBE) results for a geometry-optimized BaLiEuBi structure.

Properties
Its formation energy is -0.47 eV per atom. As for the space-group type: F-43m.

Unit cell a=5.858 b=5.858 c=5.858 alpha=60.00 beta=60.00 gamma=60.00
Positions (direct):
Ba 0.000 0.000 0.000
Li 0.750 0.750 0.750
Eu 0.500 0.500 0.500
Bi 0.250 0.250 0.250



5.
DFT (GGA-PBE) results for a geometry-optimized BaEuBiSbO6 structure.

Properties
The relative energy among the computed polymorphs is 0 meV per atom. The value obtained for the raw formation energy is -2.023 eV per atom. As for the space-group type: P-1.

Unit cell a=6.026 b=6.103 c=8.567 alpha=89.73 beta=89.37 gamma=89.91
Positions (direct):
Ba 0.005 0.029 0.249
Ba 0.995 0.971 0.751
Eu 0.486 0.539 0.248
Eu 0.514 0.461 0.752
Bi 0.000 0.500 0.000
Bi 0.500 0.000 0.500
Sb 0.000 0.500 0.500
Sb 0.500 0.000 0.000
O 0.105 0.504 0.728
O 0.204 0.757 0.453
O 0.230 0.804 0.029
O 0.264 0.303 0.442
O 0.318 0.278 0.052
O 0.435 0.052 0.769
O 0.565 0.948 0.231
O 0.682 0.722 0.948
O 0.736 0.697 0.558
O 0.770 0.196 0.971
O 0.796 0.243 0.547
O 0.895 0.496 0.272



6.
DFT (GGA-PBE) results for a geometry-optimized BaEuBiSbO6 structure.

Properties
The relative energy among the computed polymorphs is 67 meV per atom. The value obtained for the raw formation energy is -1.956 eV per atom. As for the space-group type: F-43m.

Unit cell a=6.091 b=6.091 c=6.091 alpha=60.00 beta=60.00 gamma=60.00
Positions (direct):
Ba 0.000 0.000 0.000
Eu 0.500 0.500 0.500
Bi 0.250 0.250 0.250
Sb 0.750 0.750 0.750
O 0.517 0.517 0.983
O 0.517 0.983 0.517
O 0.517 0.983 0.983
O 0.983 0.517 0.517
O 0.983 0.517 0.983
O 0.983 0.983 0.517



7.
DFT (GGA-PBE) results for a geometry-optimized BaSmEuBiO6 structure.

Properties
The relative energy among the computed polymorphs is 0 meV per atom. The value obtained for the raw formation energy is -2.386 eV per atom. As for the space-group type: P-1.

Unit cell a=6.077 b=6.222 c=8.688 alpha=89.92 beta=89.77 gamma=89.83
Positions (direct):
Ba 0.008 0.039 0.249
Ba 0.992 0.961 0.751
Sm 0.000 0.500 0.000
Sm 0.500 0.000 0.500
Eu 0.484 0.547 0.248
Eu 0.516 0.453 0.752
Bi 0.000 0.500 0.500
Bi 0.500 0.000 0.000
O 0.119 0.514 0.740
O 0.206 0.775 0.450
O 0.212 0.795 0.042
O 0.288 0.305 0.436
O 0.315 0.301 0.061
O 0.420 0.064 0.756
O 0.580 0.936 0.244
O 0.685 0.699 0.939
O 0.712 0.695 0.564
O 0.788 0.205 0.958
O 0.794 0.225 0.550
O 0.881 0.486 0.260



8.
DFT (GGA-PBE) results for a geometry-optimized BaSmEuBiO6 structure.

Properties
The relative energy among the computed polymorphs is 110 meV per atom. The value obtained for the raw formation energy is -2.277 eV per atom. As for the space-group type: F-43m.

Unit cell a=6.198 b=6.198 c=6.198 alpha=60.00 beta=60.00 gamma=60.00
Positions (direct):
Ba 0.000 0.000 0.000
Sm 0.750 0.750 0.750
Eu 0.500 0.500 0.500
Bi 0.250 0.250 0.250
O 0.008 0.008 0.492
O 0.008 0.492 0.008
O 0.008 0.492 0.492
O 0.492 0.008 0.008
O 0.492 0.008 0.492
O 0.492 0.492 0.008



9.
DFT (GGA-PBE) results for a geometry-optimized BaEuTiBiO6 structure.

Properties
The value obtained for the raw formation energy is -2.360 eV per atom. As for the space-group type: F-43m.

Unit cell a=5.947 b=5.947 c=5.947 alpha=60.00 beta=60.00 gamma=60.00
Positions (direct):
Ba 0.000 0.000 0.000
Eu 0.500 0.500 0.500
Ti 0.750 0.750 0.750
Bi 0.250 0.250 0.250
O 0.516 0.516 0.984
O 0.516 0.984 0.516
O 0.516 0.984 0.984
O 0.984 0.516 0.516
O 0.984 0.516 0.984
O 0.984 0.984 0.516



10.
DFT (GGA-PBE) results for a geometry-optimized BaEuYBiO6 structure.

Properties
The relative energy among the computed polymorphs is 94 meV per atom. The value obtained for the raw formation energy is -2.326 eV per atom. As for the space-group type: F-43m.

Unit cell a=6.130 b=6.130 c=6.130 alpha=60.00 beta=60.00 gamma=60.00
Positions (direct):
Ba 0.000 0.000 0.000
Eu 0.500 0.500 0.500
Y 0.750 0.750 0.750
Bi 0.250 0.250 0.250
O 0.005 0.005 0.495
O 0.005 0.495 0.005
O 0.005 0.495 0.495
O 0.495 0.005 0.005
O 0.495 0.005 0.495
O 0.495 0.495 0.005



11.
DFT (GGA-PBE) results for a geometry-optimized BaEuYBiO6 structure.

Properties
The relative energy among the computed polymorphs is 0 meV per atom. The value obtained for the raw formation energy is -2.419 eV per atom. As for the space-group type: P-1.

Unit cell a=6.035 b=6.164 c=8.608 alpha=89.99 beta=89.91 gamma=89.83
Positions (direct):
Ba 0.007 0.036 0.249
Ba 0.993 0.964 0.751
Eu 0.484 0.546 0.247
Eu 0.516 0.454 0.753
Y 0.000 0.500 0.000
Y 0.500 0.000 0.500
Bi 0.000 0.500 0.500
Bi 0.500 0.000 0.000
O 0.114 0.509 0.742
O 0.212 0.774 0.454
O 0.212 0.788 0.041
O 0.287 0.301 0.439
O 0.308 0.302 0.058
O 0.425 0.061 0.751
O 0.575 0.939 0.249
O 0.692 0.698 0.942
O 0.713 0.699 0.561
O 0.788 0.212 0.959
O 0.788 0.226 0.546
O 0.886 0.491 0.258



12.
DFT (GGA-PBE) results for a geometry-optimized BaEuBiPb structure.

Properties
Its formation energy is -0.58 eV per atom. As for the space-group type: F-43m.

Unit cell a=5.925 b=5.925 c=5.925 alpha=60.00 beta=60.00 gamma=60.00
Positions (direct):
Ba 0.000 0.000 0.000
Eu 0.500 0.500 0.500
Bi 0.750 0.750 0.750
Pb 0.250 0.250 0.250



13.
DFT (GGA-PBE) results for a geometry-optimized BaEuBiPd structure.

Properties
Its formation energy is -0.61 eV per atom. As for the space-group type: F-43m.

Unit cell a=5.666 b=5.666 c=5.666 alpha=60.00 beta=60.00 gamma=60.00
Positions (direct):
Ba 0.000 0.000 0.000
Eu 0.500 0.500 0.500
Bi 0.250 0.250 0.250
Pd 0.750 0.750 0.750



14.
DFT (GGA-PBE) results for a geometry-optimized BaEuBiSb structure.

Properties
The value obtained for the raw formation energy is -0.748 eV per atom. As for the space-group type: F-43m.

Unit cell a=5.874 b=5.874 c=5.874 alpha=60.00 beta=60.00 gamma=60.00
Positions (direct):
Ba 0.000 0.000 0.000
Eu 0.500 0.500 0.500
Bi 0.250 0.250 0.250
Sb 0.750 0.750 0.750



15.
DFT (GGA-PBE) results for a geometry-optimized BaEuTlBi structure.

Properties
Its formation energy is -0.56 eV per atom. As for the space-group type: F-43m.

Unit cell a=5.912 b=5.912 c=5.912 alpha=60.00 beta=60.00 gamma=60.00
Positions (direct):
Ba 0.000 0.000 0.000
Eu 0.500 0.500 0.500
Tl 0.750 0.750 0.750
Bi 0.250 0.250 0.250



16.
DFT (GGA-PBE) results for a geometry-optimized Ba3BiF structure.

Properties
The relative energy among the computed polymorphs is 0 meV per atom. The value obtained for the raw formation energy is -1.473 eV per atom. As for the space-group type: P2_1/m.

Unit cell a=9.146 b=4.556 c=10.938 alpha=90.00 beta=101.49 gamma=90.00
Positions (direct):
Ba 0.042 0.250 0.341
Ba 0.270 0.250 0.030
Ba 0.390 0.750 0.637
Ba 0.610 0.250 0.363
Ba 0.730 0.750 0.970
Ba 0.958 0.750 0.659
Bi 0.320 0.750 0.296
Bi 0.680 0.250 0.704
F 0.107 0.250 0.584
F 0.893 0.750 0.416



17.
DFT (GGA-PBE) results for a geometry-optimized BaBiF7 structure.

Properties
The value obtained for the raw formation energy is -2.507 eV per atom. As for the space-group type: P2_1/c.

Unit cell a=5.829 b=10.179 c=10.547 alpha=90.00 beta=92.18 gamma=90.00
Positions (direct):
Ba 0.182 0.171 0.011
Ba 0.182 0.329 0.511
Ba 0.818 0.671 0.489
Ba 0.818 0.829 0.989
Bi 0.330 0.607 0.186
Bi 0.330 0.893 0.686
Bi 0.670 0.107 0.314
Bi 0.670 0.393 0.814
F 0.036 0.696 0.243
F 0.036 0.804 0.743
F 0.089 0.536 0.619
F 0.089 0.964 0.119
F 0.161 0.060 0.628
F 0.161 0.440 0.128
F 0.260 0.704 0.017
F 0.260 0.796 0.517
F 0.372 0.045 0.388
F 0.372 0.455 0.888
F 0.404 0.537 0.367
F 0.404 0.963 0.867
F 0.471 0.236 0.755
F 0.471 0.264 0.255
F 0.529 0.736 0.745
F 0.529 0.764 0.245
F 0.596 0.037 0.133
F 0.596 0.463 0.633
F 0.628 0.545 0.112
F 0.628 0.955 0.612
F 0.740 0.204 0.483
F 0.740 0.296 0.983
F 0.839 0.560 0.872
F 0.839 0.940 0.372
F 0.911 0.036 0.881
F 0.911 0.464 0.381
F 0.964 0.196 0.257
F 0.964 0.304 0.757



18.
DFT (GGA-PBE) results for a geometry-optimized Ba8Bi5F structure.

Properties
The value obtained for the raw formation energy is -1.170 eV per atom. As for the space-group type: I-4.

Unit cell a=9.223 b=9.223 c=9.223 alpha=110.46 beta=110.46 gamma=107.50
Positions (direct):
Ba 0.013 0.903 0.264
Ba 0.097 0.360 0.110
Ba 0.151 0.391 0.637
Ba 0.250 0.987 0.890
Ba 0.486 0.849 0.240
Ba 0.609 0.246 0.760
Ba 0.640 0.750 0.736
Ba 0.754 0.514 0.363
Bi 0.250 0.750 0.500
Bi 0.387 0.262 0.377
Bi 0.738 0.115 0.125
Bi 0.885 0.009 0.623
Bi 0.991 0.613 0.875
F 0.500 0.500 0.000



19.
DFT (GGA-PBE) results for a geometry-optimized BaBi2F structure.

Properties
The relative energy among the computed polymorphs is 302 meV per atom. The value obtained for the raw formation energy is -0.563 eV per atom. As for the space-group type: Fm-3m.

Unit cell a=5.597 b=5.597 c=5.597 alpha=60.00 beta=60.00 gamma=60.00
Positions (direct):
Ba 0.000 0.000 0.000
Bi 0.250 0.250 0.250
Bi 0.750 0.750 0.750
F 0.500 0.500 0.500



20.
DFT (GGA-PBE) results for a geometry-optimized Ba4Bi2F structure.

Properties
The value obtained for the raw formation energy is -1.433 eV per atom. As for the space-group type: I4/mmm.

Unit cell a=10.379 b=10.379 c=10.379 alpha=150.07 beta=150.07 gamma=42.83
Positions (direct):
Ba 0.000 0.500 0.500
Ba 0.182 0.182 0.000
Ba 0.500 0.000 0.500
Ba 0.818 0.818 0.000
Bi 0.366 0.366 0.000
Bi 0.634 0.634 0.000
F 0.000 0.000 0.000